No. 1
20
Lattice="-5.672 5.672 5.672 5.672 -5.672 5.672 5.672 5.672 -5.672" Properties=species:S:1:pos:R:3 comment="Nd7Dy12Pu (PBE, optimized geometry)" density_g_cm3=7.289 crystal_system=cubic e_form_ev_per_fu=13.304 energy_ev_per_atom=-4.48 pbc="T T T"
Nd 2.836 2.836 -2.836
Nd 2.836 -2.836 2.836
Nd 5.672 0.000 0.000
Nd -2.836 2.836 2.836
Nd 0.000 5.672 0.000
Nd 0.000 0.000 5.672
Nd 2.836 2.836 2.836
Dy 5.672 2.907 -2.907
Dy 5.672 -2.907 2.907
Dy 2.907 5.672 -2.907
Dy 2.765 2.765 0.000
Dy 2.765 0.000 2.765
Dy 2.907 -2.907 5.672
Dy 0.000 2.765 2.765
Dy 5.672 2.907 2.907
Dy -2.907 5.672 2.907
Dy -2.907 2.907 5.672
Dy 2.907 5.672 2.907
Dy 2.907 2.907 5.672
Pu 0.000 0.000 0.000



No. 2
14
Lattice="5.880 0.000 0.000 0.000 6.135 0.000 -2.424 0.000 8.148" Properties=species:S:1:pos:R:3 comment="Mg4Tl2H (PBE, optimized geometry)" density_g_cm3=5.728 crystal_system=monoclinic energy_ev_per_atom=-2.08 pbc="T T T"
Mg 0.907 1.534 0.146
Mg 0.663 4.601 2.884
Mg -0.131 3.077 5.684
Mg -0.131 6.126 5.684
Mg 3.587 0.009 2.464
Mg 3.587 3.059 2.464
Mg 2.793 1.534 5.265
Mg 2.549 4.601 8.002
Tl 0.526 1.534 3.104
Tl 2.017 4.601 0.188
Tl 1.439 1.534 7.960
Tl 2.930 4.601 5.044
H -1.359 1.534 6.188
H 4.814 4.601 1.961